A geometry-optimized Ac6TlPd3 structure. Source: the Alexandria database, functional GGA-PBE.

Calculated values
The calculation puts the electronic total energy at -4.7721 eV/atom.

POSCAR file:
```
Ac6TlPd3
1.0
4.4209 0.0000 0.0000
0.0000 12.5127 -4.3972
0.0000 0.1164 13.0207
Pd Ac Tl
6 12 2
Cartesian
1.1052 6.3585 1.9962
1.1052 2.0507 6.3614
3.3157 6.2707 6.6273
1.1052 11.5741 6.9853
3.3157 1.0550 1.6381
3.3157 10.5785 2.2620
3.3157 1.2054 11.5892
3.3157 3.3129 8.1064
1.1052 6.7305 8.9017
3.3157 0.6418 4.7720
1.1052 9.3162 0.5170
3.3157 5.8986 -0.2783
3.3157 7.7559 3.5357
1.1052 11.4237 -2.9658
1.1052 11.9874 3.8514
3.3157 9.5294 7.1248
1.1052 4.8732 5.0877
1.1052 3.0998 1.4987
1.1052 3.8997 10.9318
3.3157 8.7294 -2.3084
```

A geometry-optimized Pa3Al7Ag2 structure. Source: the Alexandria database, functional GGA-PBE.

Calculated values
The calculation puts the electronic total energy at -5.2599 eV/atom.

POSCAR file:
```
Pa3Al7Ag2
1.0
5.2955 0.0000 1.6575
2.3884 4.7263 1.6575
0.0014 0.0009 9.2837
Pa Al Ag
3 7 2
Cartesian
6.5852 4.0506 6.8251
0.0000 0.0000 0.0000
1.1000 0.6766 5.7736
1.8074 2.7775 8.0518
3.8426 2.3636 6.2993
5.8779 1.9497 4.5469
3.1697 1.9497 3.6993
4.5156 2.7775 8.8994
3.2941 0.3604 8.0518
4.3911 4.3668 4.5469
2.5793 1.5865 10.3357
5.1060 3.1407 2.2630
```

A geometry-optimized NbTlGe2 structure. Source: the Alexandria database, functional GGA-PBE.

Calculated values
The value obtained for the energy relative to the lowest polymorph listed for this composition is 0.000 eV/atom.

POSCAR file:
```
NbTlGe2
1.0
0.0000 3.4361 3.4361
3.4361 0.0000 3.4361
3.4361 3.4361 0.0000
Ge Tl Nb
2 1 1
Cartesian
1.7180 1.7180 1.7180
5.1541 5.1541 5.1541
3.4361 3.4361 3.4361
0.0000 0.0000 0.0000
```

A geometry-optimized PrThRhCl structure. Source: the Alexandria database, functional GGA-PBE.

Calculated values
For the raw formation energy, the calculation gives -1082.9 meV per atom.

POSCAR file:
```
PrThRhCl
1.0
-3.0344 -1.5463 2.3272
2.8430 -2.5113 -1.6168
5.4643 2.7640 5.3073
Rh Pr Cl Th
1 1 1 1
Cartesian
5.4471 0.5637 4.5138
2.5237 0.6878 4.4390
0.1390 -1.4505 3.5646
2.7281 -2.3607 -0.9770
```

A geometry-optimized BiBPb2 structure. Source: the Alexandria database, functional GGA-PBE.

Calculated values
The value obtained for the energy relative to the lowest polymorph listed for this composition is 0.389 eV/atom.

POSCAR file:
```
BiBPb2
1.0
0.0000 3.7821 3.7821
3.7821 0.0000 3.7821
3.7821 3.7821 0.0000
Pb Bi B
2 1 1
Cartesian
1.8910 1.8910 1.8910
5.6731 5.6731 5.6731
3.7821 3.7821 3.7821
0.0000 0.0000 0.0000
```

A geometry-optimized Tb6Dy3Tl structure. Source: the Alexandria database, functional GGA-PBE.

Calculated values
The value obtained for the energy relative to the lowest polymorph listed for this composition is 0.000 eV/atom.

POSCAR file:
```
Tb6Dy3Tl
1.0
-2.5173 -1.0609 -2.1939
-2.2165 -10.1070 7.4306
-8.9895 9.4369 5.7512
Tb Tl Dy
12 2 6
Cartesian
-9.1825 0.7798 5.9624
-3.7070 0.1371 2.7883
-6.3070 -5.5110 5.7051
-10.0230 1.4094 9.4199
-7.4163 3.7800 5.2827
-7.3784 -4.1950 9.0956
-10.0163 -1.8681 8.1995
-3.7003 -3.1405 1.5679
-4.3452 -8.2689 4.7877
-4.5408 -2.5108 5.0254
-6.3449 2.4640 1.8922
-9.3782 6.5379 6.2002
-8.4596 5.6982 2.7546
-5.2637 -7.4293 8.2332
-5.9277 0.6904 5.0688
-10.7428 -1.1681 11.4923
-2.7764 -5.1948 4.2988
-10.9469 3.4638 6.6891
-7.7956 -2.4214 5.9190
-2.9805 -0.5630 -0.5044
```

A geometry-optimized AcTh2WN5 structure. Source: the Alexandria database, functional GGA-PBE.

Calculated values
For the raw formation energy, the calculation gives -1195.4 meV per atom.

POSCAR file:
```
AcTh2WN5
1.0
5.9593 0.0000 0.0000
0.0000 6.9525 0.0000
0.0000 0.0000 6.9525
W N Th Ac
2 10 4 2
Cartesian
0.0000 3.4762 0.0000
0.0000 0.0000 3.4762
4.5466 5.9771 2.5008
4.5466 4.4516 5.9771
2.9796 0.0000 0.0000
1.4126 0.9754 4.4516
4.5466 2.5008 0.9754
1.4126 5.9771 2.5008
4.5466 0.9754 4.4516
1.4126 4.4516 5.9771
1.4126 2.5008 0.9754
2.9796 3.4762 3.4762
2.9796 1.2032 2.2731
2.9796 5.7493 4.6794
2.9796 2.2731 5.7493
2.9796 4.6794 1.2032
0.0000 3.4762 3.4762
0.0000 0.0000 0.0000
```

A geometry-optimized CoAsPt2 structure. Source: the Alexandria database, functional GGA-PBE.

Calculated values
The calculation puts the electronic total energy at -5.8815 eV/atom.

POSCAR file:
```
CoAsPt2
1.0
4.6432 0.0000 0.0000
0.0000 4.6432 0.0000
0.0000 0.0000 2.8093
Pt Co As
2 1 1
Cartesian
2.3216 2.3216 0.0000
0.0000 0.0000 0.0000
0.0000 2.3216 1.4047
2.3216 0.0000 1.4047
```

A geometry-optimized Ba2BeBr structure. Source: the Alexandria database, functional GGA-PBE.

Calculated values
For the raw formation energy, the calculation gives -456.0 meV per atom. The value obtained for the energy relative to the lowest polymorph listed for this composition is 0.015 eV/atom.

POSCAR file:
```
Ba2BeBr
1.0
3.9581 0.0000 0.0000
0.0000 3.9496 0.0503
0.0000 3.8348 8.8176
Ba Be Br
2 1 1
Cartesian
0.0000 3.9448 0.2940
0.0000 3.8970 4.1902
1.9791 1.9461 2.2170
1.9791 5.8383 6.6509
```

A geometry-optimized Ce3Er2ThP6 structure. Source: the Alexandria database, functional GGA-PBE.

Calculated values
The calculation puts the electronic total energy at -7.1150 eV/atom.

POSCAR file:
```
Ce3Er2ThP6
1.0
-6.1945 -1.7452 2.8437
4.8805 -4.9453 -1.1082
2.9167 3.3186 5.4865
Er Ce Th P
2 3 1 6
Cartesian
1.1916 -3.8794 0.2081
-2.5056 -2.8111 1.5274
-2.8991 -0.6167 4.9314
4.5018 -2.7552 2.2906
0.8014 -1.6859 3.6110
0.0000 0.0000 0.0000
1.8629 0.7852 4.5848
-1.4855 -0.3224 2.4601
2.2643 -1.4059 1.1220
-0.6616 -1.9659 6.1000
3.0883 -3.0494 4.7619
-0.2601 -4.1570 2.6372
```

A geometry-optimized TeOs2S structure. Source: the Alexandria database, functional GGA-PBE.

Calculated values
For the raw formation energy, the calculation gives 488.7 meV per atom. The value obtained for the energy relative to the lowest polymorph listed for this composition is 0.000 eV/atom.

POSCAR file:
```
TeOs2S
1.0
5.3897 0.0000 0.0000
0.0000 5.3897 0.0000
2.6949 2.6949 5.7861
S Os Te
2 4 2
Cartesian
2.6949 2.6949 0.0000
2.6949 5.3897 2.8931
4.0423 4.3684 4.3396
3.7161 1.3474 1.4465
6.7371 6.4110 4.3396
1.6736 4.0423 1.4465
5.3897 2.6949 2.8931
0.0000 0.0000 0.0000
```

A geometry-optimized LiCuP2 structure. Source: the Alexandria database, functional GGA-PBE.

Calculated values
The value obtained for the energy relative to the lowest polymorph listed for this composition is 0.027 eV/atom.

POSCAR file:
```
LiCuP2
1.0
-3.6411 1.0031 -4.8746
-1.6880 -0.2386 -5.9262
-1.1639 -3.3054 1.7416
P Cu Li
2 1 1
Cartesian
-6.3339 -2.4901 -8.8236
-5.0167 -1.9523 -7.0123
-3.5572 -1.3999 -4.9538
-1.3247 -0.5101 -1.8581
```

A geometry-optimized Ce2DyPt2 structure. Source: the Alexandria database, functional GGA-PBE.

Calculated values
The value obtained for the energy relative to the lowest polymorph listed for this composition is 0.227 eV/atom.

POSCAR file:
```
Ce2DyPt2
1.0
-2.9381 -2.8476 -0.7301
-0.9597 -0.0415 4.0437
-6.2907 3.7866 0.3811
Pt Ce Dy
2 2 1
Cartesian
-7.4735 1.3227 2.3196
-2.7150 -0.4251 1.3750
-4.5878 1.1671 3.0694
-5.6007 -0.2696 0.6252
0.0000 0.0000 0.0000
```

A geometry-optimized Ti12VSn6 structure. Source: the Alexandria database, functional GGA-PBE.

Calculated values
The calculation puts the electronic total energy at -6.8886 eV/atom.

POSCAR file:
```
Ti12VSn6
1.0
-3.9860 5.3519 2.3245
-2.9524 -4.4723 4.6061
5.1664 1.5998 4.5480
Sn Ti V
6 12 1
Cartesian
-1.2106 -2.2083 4.9740
-3.1556 2.8923 3.5720
-4.1118 0.3281 6.8981
1.3835 -0.4130 7.9066
2.3397 2.1512 4.5805
-0.5615 4.6876 6.5046
0.6272 -0.1242 5.1451
-2.4341 0.3921 4.5610
1.2359 0.2577 2.4742
-2.3993 2.6036 6.3335
-0.8923 1.9334 1.7837
-1.3556 -0.7751 2.2972
-3.0080 2.2217 9.0044
0.6620 2.0873 6.9176
-0.4165 3.2545 9.1814
-1.4065 -0.2924 7.1123
-0.3656 2.7717 4.3663
-0.8798 0.5460 9.6949
0.0000 0.0000 0.0000
```

A geometry-optimized Li3Pm4Ir2 structure. Source: the Alexandria database, functional GGA-PBE.

Calculated values
The calculation puts the electronic total energy at -5.0791 eV/atom.

POSCAR file:
```
Li3Pm4Ir2
1.0
-4.8423 0.3710 -0.5374
-2.8224 -3.9582 0.4854
-0.9624 1.9116 9.9915
Li Pm Ir
3 4 2
Cartesian
-5.5601 -1.4977 4.6396
-3.0670 -0.1778 5.2999
0.0000 0.0000 0.0000
-3.4831 -2.6454 7.3455
-2.6645 -0.9780 1.1207
-5.1440 0.9699 2.5940
-5.9626 -0.6976 8.8188
-5.2921 -2.0293 1.8581
-3.3350 0.3538 8.0814
```

A geometry-optimized Rb4NaP2 structure. Source: the Alexandria database, functional GGA-PBE.

Calculated values
The calculation puts the electronic total energy at -2.4114 eV/atom.

POSCAR file:
```
Rb4NaP2
1.0
5.5992 0.0014 1.8127
2.5075 5.0064 1.8127
-0.3989 -0.2464 10.7860
Rb P Na
4 2 1
Cartesian
4.8005 2.9655 4.2810
2.9073 1.7960 10.1304
6.2109 3.8367 9.4818
1.4969 0.9247 4.9296
0.4396 0.2716 8.1993
7.2682 4.4899 6.2121
0.0000 0.0000 0.0000
```

A geometry-optimized Tm2MgZrRh4 structure. Source: the Alexandria database, functional GGA-PBE.

Calculated values
The calculation puts the electronic total energy at -6.9218 eV/atom.

POSCAR file:
```
Tm2MgZrRh4
1.0
4.6871 0.0000 0.0000
2.3435 4.0591 0.0000
2.3435 1.3530 7.5633
Rh Mg Tm Zr
4 1 2 1
Cartesian
4.6871 2.7061 1.0297
2.3435 1.3530 4.6674
7.0306 4.0591 2.8959
4.6871 2.7061 6.5335
0.0000 0.0000 0.0000
2.3435 1.3530 1.7753
7.0306 4.0591 5.7880
4.6871 2.7061 3.7816
```

A geometry-optimized MgIn3Pb6 structure. Source: the Alexandria database, functional GGA-PBE.

Calculated values
The calculation puts the electronic total energy at -3.1454 eV/atom.

POSCAR file:
```
MgIn3Pb6
1.0
-2.1824 -3.4764 -2.9662
10.6813 2.9319 -11.2952
0.9555 -6.5375 6.9590
Pb In Mg
12 6 2
Cartesian
1.6330 -0.7579 -2.4749
-1.2128 -5.0232 0.2948
7.8213 -6.3241 -4.8275
10.1074 1.3288 -11.1557
3.4045 -1.7442 -6.9456
5.5911 -3.9495 -5.9697
10.6671 -2.0589 -7.5972
-0.6530 -8.4108 3.8533
3.8633 -3.1325 -1.3327
6.0498 -5.3379 -0.3568
1.1832 -7.2723 1.1678
8.2711 0.1902 -8.4702
1.8356 -3.8545 1.0054
8.5834 -2.9284 -5.0449
0.8709 -4.1537 -2.2575
4.5651 -5.4845 -3.4158
7.6187 -3.2275 -8.3078
4.8892 -1.5976 -3.8866
5.5461 -1.1854 -9.1761
3.9082 -5.8966 1.8738
```

A geometry-optimized SrReAg2 structure. Source: the Alexandria database, functional GGA-PBE.

Calculated values
The value obtained for the energy relative to the lowest polymorph listed for this composition is 0.236 eV/atom.

POSCAR file:
```
SrReAg2
1.0
-7.7709 0.1022 7.0298
-5.5217 -0.3855 8.8983
-6.2095 2.3847 8.0977
Re Ag Sr
1 2 1
Cartesian
-4.8755 0.5254 6.0064
-19.3346 2.0834 23.8195
-9.9185 1.0688 12.2192
-14.6265 1.5761 18.0193
```

A geometry-optimized Tm3TlTe2 structure. Source: the Alexandria database, functional GGA-PBE.

Calculated values
For the raw formation energy, the calculation gives -902.5 meV per atom. The value obtained for the energy relative to the lowest polymorph listed for this composition is 0.021 eV/atom.

POSCAR file:
```
Tm3TlTe2
1.0
6.1213 -0.0092 0.0000
0.0143 8.6255 0.0000
0.0000 0.0000 13.0471
Te Tl Tm
8 4 12
Cartesian
4.5974 5.3656 3.1735
4.5938 1.0328 7.5939
1.5453 7.5635 9.6971
1.5418 7.5836 5.4532
1.5346 3.2708 1.0704
4.5902 1.0528 3.3500
4.6010 5.3456 11.9767
1.5382 3.2508 9.8736
1.5406 7.5489 1.1489
4.5950 1.0675 11.8982
4.6021 5.3802 7.6725
1.5334 3.2361 5.3746
1.5406 5.5175 12.0142
4.5988 3.2248 9.7783
4.6013 7.5963 1.0456
4.6021 7.4116 5.4906
4.6059 7.5375 9.7924
4.5942 3.2835 5.4779
1.5368 5.3916 3.2688
1.5342 1.0201 12.0015
1.5414 5.3328 7.5692
1.5296 1.0788 3.2548
4.5949 3.0989 1.0330
1.5335 1.2047 7.5565
```

A geometry-optimized Ca4Zn6F19 structure. Source: the Alexandria database, functional GGA-PBE.

Calculated values
For the raw formation energy, the calculation gives -2825.2 meV per atom.

POSCAR file:
```
Ca4Zn6F19
1.0
7.5863 0.0000 -2.6822
-3.7932 6.5699 -2.6822
0.0000 0.0000 8.0465
F Zn Ca
19 6 4
Cartesian
1.5888 2.2474 3.0050
0.1655 4.7815 3.1784
-2.5824 4.4729 3.6521
-0.4304 4.3225 -2.1859
3.8130 1.5363 5.4487
2.6150 5.0336 -0.9035
-1.2107 2.0971 1.7123
-0.7414 1.7885 4.4609
1.2107 2.0971 -1.7123
2.4215 0.0000 1.7123
4.8456 0.2522 0.3228
0.0000 0.0000 0.0000
4.9451 4.0703 -2.3593
4.3493 2.5340 2.7666
0.2650 4.0359 0.4962
3.2171 2.4996 0.0844
2.5824 4.4729 -3.6521
5.1648 0.0000 3.6521
-1.8736 6.3178 1.7787
0.6089 5.5152 -0.8612
3.1842 1.0547 3.5433
5.0808 2.2303 0.8612
3.1145 3.2850 -1.8210
-1.2876 4.3397 1.8210
0.6787 3.2850 4.5032
1.1200 1.9399 0.7920
0.0000 0.0000 5.6706
-2.6732 4.6300 -1.8902
5.3463 0.0000 -1.8902
```